1.
A plane-wave DFT calculation with GGA-PBE was carried out for an optimized crystal structure of Ga2FePb.

Cell: 4.405 4.405 9.230 Å, 76.19 76.19 90.00°
Last column: magnetic moment on the atom in μB.
Element x y z (fractional)
Pb1 0.000 0.000 0.000  -0.02
Pb2 0.750 0.250 0.500  -0.02
Fe1 0.500 0.500 0.000  2.55
Fe2 0.250 0.750 0.500  2.54
Ga1 0.523 0.125 0.250  -0.04
Ga2 0.227 0.625 0.250  -0.04
Ga3 0.375 0.477 0.750  -0.04
Ga4 0.875 0.773 0.750  -0.04

Properties
space group = I-42d (122)
ΔE_f = 329 meV/atom
total magnetic moment = 5.014 Bohr magnetons per cell
calculated volume = 21.1 Å³/atom


2.
A plane-wave DFT calculation with GGA-PBE was carried out for an optimized crystal structure of GaFe2Pb.

Cell: 4.133 4.133 9.300 Å, 77.16 77.16 90.00°
Last column: magnetic moment on the atom in μB.
Element x y z (fractional)
Pb1 0.000 0.000 0.000  -0.06
Pb2 0.750 0.250 0.500  -0.06
Fe1 0.535 0.125 0.250  2.54
Fe2 0.215 0.625 0.250  2.54
Fe3 0.375 0.465 0.750  2.46
Fe4 0.875 0.785 0.750  2.44
Ga1 0.500 0.500 0.000  -0.07
Ga2 0.250 0.750 0.500  -0.07

Properties
space group = I-42d (122)
ΔE_f = 556 meV/atom
energy above the most stable polymorph in this dataset = 0.0530 eV per atom
total magnetic moment = 9.850 Bohr magnetons per cell
calculated volume = 18.9 Å³/atom


3.
A plane-wave DFT calculation with GGA-PBE was carried out for an optimized crystal structure of GaFePt2Pb.

Cell: 4.736 4.978 4.736 Å, 90.00 90.00 90.00°
Last column: magnetic moment on the atom in μB.
Element x y z (fractional)
Pb1 0.000 0.500 0.000  -0.05
Ga1 0.500 0.500 0.500  -0.02
Pt1 0.000 0.000 0.500  0.48
Pt2 0.500 0.000 0.000  0.23
Fe1 0.000 0.000 0.000  2.44

Properties
space group = P4/mmm (123)
ΔE_f = 633 meV/atom
total magnetic moment = 3.051 Bohr magnetons per cell
calculated volume = 22.3 Å³/atom


4.
A plane-wave DFT calculation with GGA-PBE was carried out for an optimized crystal structure of GaFePd.

Cell: 2.961 2.961 10.075 Å, 98.45 98.45 90.00°
Last column: magnetic moment on the atom in μB.
Element x y z (fractional)
Fe1 0.282 0.282 0.563  2.07
Fe2 0.718 0.718 0.437  2.07
Ga1 0.144 0.144 0.288  -0.07
Ga2 0.856 0.856 0.712  -0.07
Pd1 0.567 0.567 0.135  -0.03
Pd2 0.433 0.433 0.865  -0.03

Properties
space group = I4/mmm (139)
ΔE_f = -232 meV/atom
total magnetic moment = 3.853 Bohr magnetons per cell
calculated volume = 14.4 Å³/atom


5.
A plane-wave DFT calculation with GGA-PBE was carried out for an optimized crystal structure of GaFePd4.

Cell: 4.121 4.120 7.233 Å, 73.46 73.45 59.99°
Last column: magnetic moment on the atom in μB.
Element x y z (fractional)
Ga1 0.000 0.000 0.000  -0.01
Fe1 0.500 0.500 0.500  3.31
Pd1 0.624 0.624 0.127  0.13
Pd2 0.376 0.376 0.873  0.13
Pd3 0.124 0.124 0.627  0.30
Pd4 0.876 0.876 0.373  0.30

Properties
space group = R-3m (166)
ΔE_f = -168 meV/atom
total magnetic moment = 4.200 Bohr magnetons per cell
calculated volume = 16.7 Å³/atom


6.
A plane-wave DFT calculation with GGA-PBE was carried out for an optimized crystal structure of GaFe2Pd8.

Cell: 3.983 6.091 7.229 Å, 104.11 105.99 90.00°
Last column: magnetic moment on the atom in μB.
Element x y z (fractional)
Ga1 0.500 0.000 0.000  -0.02
Fe1 0.778 0.351 0.555  3.23
Fe2 0.222 0.649 0.445  3.23
Pd1 0.402 0.538 0.803  0.22
Pd2 0.679 0.920 0.357  0.22
Pd3 0.851 0.793 0.702  0.23
Pd4 0.958 0.261 0.915  0.13
Pd5 0.149 0.207 0.298  0.23
Pd6 0.321 0.080 0.643  0.22
Pd7 0.598 0.462 0.197  0.22
Pd8 0.042 0.739 0.085  0.13

Properties
space group = C2/m (12)
ΔE_f = -219 meV/atom
total magnetic moment = 7.952 Bohr magnetons per cell
calculated volume = 14.8 Å³/atom


7.
A plane-wave DFT calculation with GGA-PBE was carried out for an optimized crystal structure of GaFePd.

Cell: 2.856 2.856 5.513 Å, 105.01 105.01 90.00°
Last column: magnetic moment on the atom in μB.
Element x y z (fractional)
Ga1 0.670 0.670 0.340  -0.06
Pd1 0.002 0.002 0.005  0.15
Fe1 0.328 0.328 0.655  2.64

Properties
space group = I4mm (107)
ΔE_f = -217 meV/atom
total magnetic moment = 2.715 Bohr magnetons per cell
calculated volume = 13.9 Å³/atom


8.
A plane-wave DFT calculation with GGA-PBE was carried out for an optimized crystal structure of Ga2Fe2Pd.

Cell: 6.709 6.709 3.090 Å, 90.00 90.00 90.00°
Last column: magnetic moment on the atom in μB.
Element x y z (fractional)
Ga1 0.362 0.862 0.000  -0.08
Ga2 0.862 0.638 0.000  -0.08
Ga3 0.638 0.138 0.000  -0.08
Ga4 0.138 0.362 0.000  -0.08
Pd1 0.000 0.000 0.000  0.13
Pd2 0.500 0.500 0.000  0.13
Fe1 0.161 0.661 0.500  2.38
Fe2 0.661 0.839 0.500  2.38
Fe3 0.839 0.339 0.500  2.38
Fe4 0.339 0.161 0.500  2.38

Properties
space group = P4/mbm (127)
ΔE_f = -89 meV/atom
energy above the most stable polymorph in this dataset = 0.0242 eV per atom
total magnetic moment = 9.508 Bohr magnetons per cell
calculated volume = 13.9 Å³/atom


9.
A plane-wave DFT calculation with GGA-PBE was carried out for an optimized crystal structure of Ga3FePd.

Cell: 4.505 4.505 4.505 Å, 90.00 90.00 90.00°
Element x y z (fractional)
Ga1 0.000 0.500 0.000
Ga2 0.000 0.000 0.500
Ga3 0.500 0.000 0.000
Pd1 0.500 0.500 0.500
Fe1 0.000 0.000 0.000

Properties
space group = Pm-3m (221)
ΔE_f = 128 meV/atom
energy above the most stable polymorph in this dataset = 0.0000 eV per atom
total magnetic moment = 0.000 Bohr magnetons per cell
calculated volume = 18.3 Å³/atom


10.
A plane-wave DFT calculation with GGA-PBE was carried out for an optimized crystal structure of Ga2FePd.

Cell: 4.276 4.276 4.276 Å, 60.00 60.00 60.00°
Last column: magnetic moment on the atom in μB.
Element x y z (fractional)
Ga1 0.250 0.250 0.250  -0.06
Ga2 0.750 0.750 0.750  -0.06
Pd1 0.500 0.500 0.500  0.02
Fe1 0.000 0.000 0.000  1.43

Properties
space group = Fm-3m (225)
ΔE_f = -253 meV/atom
total magnetic moment = 1.292 Bohr magnetons per cell
calculated volume = 13.8 Å³/atom


11.
A plane-wave DFT calculation with GGA-PBE was carried out for an optimized crystal structure of Ga2FePd5.

Cell: 4.017 5.460 10.804 Å, 90.00 90.00 90.00°
Last column: magnetic moment on the atom in μB.
Element x y z (fractional)
Ga1 0.500 0.313 0.362  -0.02
Ga2 0.500 0.687 0.638  -0.02
Ga3 0.500 0.187 0.862  -0.02
Ga4 0.500 0.813 0.138  -0.02
Fe1 0.000 0.000 0.500  3.13
Fe2 0.000 0.500 0.000  3.13
Pd1 0.500 0.298 0.110  0.13
Pd2 0.500 0.702 0.890  0.13
Pd3 0.500 0.798 0.390  0.13
Pd4 0.500 0.202 0.610  0.13
Pd5 0.000 0.929 0.737  0.06
Pd6 0.000 0.071 0.263  0.06
Pd7 0.000 0.429 0.763  0.06
Pd8 0.000 0.571 0.237  0.06
Pd9 0.000 0.500 0.500  0.08
Pd10 0.000 0.000 0.000  0.08

Properties
space group = Pbam (55)
ΔE_f = -429 meV/atom
total magnetic moment = 7.070 Bohr magnetons per cell
calculated volume = 14.8 Å³/atom


12.
A plane-wave DFT calculation with GGA-PBE was carried out for an optimized crystal structure of Ga2Fe2Pd.

Cell: 7.266 7.266 2.684 Å, 90.00 90.00 90.00°
Last column: magnetic moment on the atom in μB.
Element x y z (fractional)
Ga1 0.182 0.682 0.500  -0.10
Ga2 0.682 0.818 0.500  -0.10
Ga3 0.818 0.318 0.500  -0.10
Ga4 0.318 0.182 0.500  -0.10
Pd1 0.000 0.000 0.000  0.03
Pd2 0.500 0.500 0.000  0.03
Fe1 0.384 0.884 0.000  2.18
Fe2 0.884 0.616 0.000  2.17
Fe3 0.616 0.116 0.000  2.18
Fe4 0.116 0.384 0.000  2.17

Properties
space group = P4/mbm (127)
ΔE_f = -113 meV/atom
energy above the most stable polymorph in this dataset = 0.0000 eV per atom
total magnetic moment = 8.327 Bohr magnetons per cell
calculated volume = 14.2 Å³/atom


13.
A plane-wave DFT calculation with GGA-PBE was carried out for an optimized crystal structure of GaFePd2.

Cell: 3.696 3.952 3.952 Å, 90.00 90.00 90.00°
Last column: magnetic moment on the atom in μB.
Element x y z (fractional)
Ga1 0.500 0.000 0.000  -0.06
Pd1 0.000 0.000 0.500  0.14
Pd2 0.000 0.500 0.000  0.14
Fe1 0.500 0.500 0.500  2.92

Properties
space group = P4/mmm (123)
ΔE_f = -282 meV/atom
total magnetic moment = 3.136 Bohr magnetons per cell
calculated volume = 14.4 Å³/atom


14.
A plane-wave DFT calculation with GGA-PBE was carried out for an optimized crystal structure of Ga6FePd.

Cell: 5.294 6.927 5.271 Å, 48.92 82.04 77.83°
Element x y z (fractional)
Ga1 0.808 0.590 0.602
Ga2 0.808 0.192 0.398
Ga3 0.192 0.808 0.602
Ga4 0.192 0.410 0.398
Ga5 0.588 0.809 0.000
Ga6 0.412 0.191 0.000
Fe1 0.500 0.500 0.000
Pd1 0.000 0.000 0.000

Properties
space group = C2/m (12)
ΔE_f = -68 meV/atom
total magnetic moment = 0.001 Bohr magnetons per cell
calculated volume = 17.8 Å³/atom


15.
A plane-wave DFT calculation with GGA-PBE was carried out for an optimized crystal structure of GaFePd2.

Cell: 3.825 3.825 9.130 Å, 77.91 77.91 90.00°
Last column: magnetic moment on the atom in μB.
Element x y z (fractional)
Ga1 0.000 0.000 0.000  -0.08
Ga2 0.750 0.250 0.500  -0.08
Pd1 0.625 0.125 0.250  0.15
Pd2 0.125 0.625 0.250  0.15
Pd3 0.375 0.375 0.750  0.15
Pd4 0.875 0.875 0.750  0.15
Fe1 0.500 0.500 0.000  2.92
Fe2 0.250 0.750 0.500  2.92

Properties
space group = I-42d (122)
ΔE_f = 26 meV/atom
total magnetic moment = 6.254 Bohr magnetons per cell
calculated volume = 15.9 Å³/atom


16.
A plane-wave DFT calculation with GGA-PBE was carried out for an optimized crystal structure of GaFe3Pd12.

Cell: 3.901 3.901 15.589 Å, 90.00 90.00 90.00°
Last column: magnetic moment on the atom in μB.
Element x y z (fractional)
Ga1 0.000 0.000 0.000  0.00
Fe1 0.000 0.000 0.249  3.33
Fe2 0.000 0.000 0.500  3.31
Fe3 0.000 0.000 0.751  3.33
Pd1 0.500 0.500 0.000  0.11
Pd2 0.500 0.500 0.252  0.33
Pd3 0.500 0.500 0.500  0.38
Pd4 0.500 0.500 0.748  0.33
Pd5 0.500 0.000 0.128  0.23
Pd6 0.500 0.000 0.376  0.35
Pd7 0.500 0.000 0.624  0.35
Pd8 0.500 0.000 0.872  0.23
Pd9 0.000 0.500 0.128  0.23
Pd10 0.000 0.500 0.376  0.35
Pd11 0.000 0.500 0.624  0.35
Pd12 0.000 0.500 0.872  0.23

Properties
space group = P4/mmm (123)
ΔE_f = -186 meV/atom
total magnetic moment = 13.359 Bohr magnetons per cell
calculated volume = 14.8 Å³/atom


17.
A plane-wave DFT calculation with GGA-PBE was carried out for an optimized crystal structure of GaFePd14.

Cell: 5.540 5.540 9.026 Å, 90.00 90.00 118.69°
Last column: magnetic moment on the atom in μB.
Element x y z (fractional)
Ga1 0.050 0.950 0.500  -0.02
Fe1 0.545 0.455 0.500  3.28
Pd1 0.200 0.800 0.000  0.11
Pd2 0.700 0.300 0.000  0.14
Pd3 0.056 0.441 0.500  0.20
Pd4 0.202 0.298 0.000  0.17
Pd5 0.559 0.944 0.500  0.20
Pd6 0.702 0.798 0.000  0.17
Pd7 0.372 0.128 0.736  0.20
Pd8 0.372 0.128 0.264  0.20
Pd9 0.872 0.628 0.736  0.20
Pd10 0.872 0.628 0.264  0.20
Pd11 0.375 0.625 0.748  0.20
Pd12 0.375 0.625 0.252  0.20
Pd13 0.874 0.126 0.751  0.15
Pd14 0.874 0.126 0.249  0.15

Properties
space group = Amm2 (38)
ΔE_f = -120 meV/atom
total magnetic moment = 5.687 Bohr magnetons per cell
calculated volume = 15.2 Å³/atom


18.
A plane-wave DFT calculation with GGA-PBE was carried out for an optimized crystal structure of GaFePd2.

Cell: 2.854 2.854 7.072 Å, 90.00 90.00 90.00°
Last column: magnetic moment on the atom in μB.
Element x y z (fractional)
Ga1 0.500 0.500 0.000  0.00
Pd1 0.000 0.000 0.755  0.11
Pd2 0.000 0.000 0.245  0.11
Fe1 0.500 0.500 0.500  3.03

Properties
space group = P4/mmm (123)
ΔE_f = -306 meV/atom
total magnetic moment = 3.252 Bohr magnetons per cell
calculated volume = 14.4 Å³/atom


19.
A plane-wave DFT calculation with GGA-PBE was carried out for an optimized crystal structure of Ga2FePd.

Cell: 2.840 2.840 9.237 Å, 81.16 81.16 60.00°
Last column: magnetic moment on the atom in μB.
Element x y z (fractional)
Ga1 0.090 0.090 0.731  -0.02
Ga2 0.910 0.910 0.269  -0.02
Pd1 0.500 0.500 0.500  -0.01
Fe1 0.000 0.000 0.000  2.68

Properties
space group = R-3m (166)
ΔE_f = 8 meV/atom
total magnetic moment = 2.610 Bohr magnetons per cell
calculated volume = 15.9 Å³/atom


20.
A plane-wave DFT calculation with GGA-PBE was carried out for an optimized crystal structure of Ga2FePd.

Cell: 2.864 2.864 8.225 Å, 79.97 79.97 60.00°
Last column: magnetic moment on the atom in μB.
Element x y z (fractional)
Ga1 0.086 0.086 0.743  -0.06
Ga2 0.248 0.248 0.257  -0.06
Fe1 0.500 0.500 0.499  2.13
Pd1 0.666 0.666 0.001  -0.04

Properties
space group = R3m (160)
ΔE_f = -267 meV/atom
total magnetic moment = 1.905 Bohr magnetons per cell
calculated volume = 14.3 Å³/atom